Computed, not measured: a relaxed HoSnPtAu crystal at the PBE-GGA level of DFT.

Cell and atoms, written as POSCAR:
```
HoSnPtAu
1.0
-4.551 -1.157 1.361
-1.857 -4.376 -1.145
-0.732 -3.337 3.498
Sn Au Pt Ho
1 1 1 1
Cartesian
0.000 0.000 0.000 Sn
-1.785 -2.217 0.928 Au
-5.355 -6.652 2.785 Pt
-3.570 -4.435 1.857 Ho
```

Formation enthalpy at 0 K = -793 meV/atom

Computed, not measured: a relaxed BiP2SN crystal at the PBE-GGA level of DFT.

Cell and atoms, written as POSCAR:
```
BiP2SN
1.0
5.485 0.000 0.000
0.000 5.485 0.000
0.000 0.000 5.327
S P Bi N
1 2 1 1
Cartesian
0.000 0.000 2.664 S
0.000 2.743 0.000 P
2.743 0.000 0.000 P
0.000 0.000 0.000 Bi
2.743 2.743 2.664 N
```

Energy relative to the elements, uncorrected = 2159.7 meV/atom

Computed, not measured: a relaxed Pm2Pr3HoSe6 crystal at the PBE-GGA level of DFT.

Cell and atoms, written as POSCAR:
```
Pm2Pr3HoSe6
1.0
7.272 -0.016 -0.002
-3.648 6.291 -0.002
-1.211 -2.097 6.920
Pr Se Pm Ho
3 6 2 1
Cartesian
4.788 0.020 3.458 Pr
1.206 2.089 3.458 Pr
-2.375 4.157 3.458 Pr
2.359 -0.007 1.647 Se
2.446 4.236 1.674 Se
0.054 4.185 5.269 Se
-1.185 2.040 1.647 Se
-0.033 -0.058 5.242 Se
3.598 2.138 5.269 Se
-0.014 4.192 -0.002 Pm
3.638 2.083 -0.002 Pm
0.000 0.000 0.000 Ho
```

Energy relative to the elements, uncorrected = -1824.7 meV/atom

Computed, not measured: a relaxed PrSmTmAg crystal at the PBE-GGA level of DFT.

Cell and atoms, written as POSCAR:
```
PrSmTmAg
1.0
-4.492 -1.374 2.790
-1.179 -5.265 0.858
0.441 -2.116 5.018
Ag Sm Tm Pr
1 1 1 1
Cartesian
-1.308 -2.189 2.166 Ag
-2.615 -4.377 4.333 Sm
-3.923 -6.566 6.499 Tm
0.000 0.000 0.000 Pr
```

Formation enthalpy at 0 K = 50 meV/atom

Computed, not measured: a relaxed LaSm2Dy5Ho crystal at the PBE-GGA level of DFT.

Cell and atoms, written as POSCAR:
```
LaSm2Dy5Ho
1.0
-5.867 2.660 -5.982
4.690 -3.896 -6.333
-3.410 -5.876 7.191
Dy Ho Sm La
10 2 4 2
Cartesian
1.019 -3.961 -5.445 Dy
-0.228 -6.324 1.187 Dy
-3.069 -4.152 3.848 Dy
-0.589 -0.618 -6.157 Dy
-5.606 -3.151 0.321 Dy
-1.518 -2.960 -8.971 Dy
-4.359 -0.787 -6.311 Dy
0.000 0.000 0.000 Dy
-2.765 -5.324 -2.339 Dy
-1.822 -1.788 -2.784 Dy
0.346 -5.195 -2.650 Ho
-4.933 -1.917 -2.474 Ho
1.119 -1.187 -3.126 Sm
-2.296 -0.049 -9.189 Sm
1.893 -2.422 -7.894 Sm
-3.070 1.187 -4.421 Sm
-1.999 -3.247 0.517 La
-2.588 -3.865 -5.641 La
```

Formation enthalpy at 0 K = 268 meV/atom

It is found that the Fermi-level density of states values, taken in the order of the records, are 2.10; 4.68; 5.62; 3.57; 20.50 states/eV per cell.
It is found that the calculated total energy values, taken in the order of the records, are -0.3871; -0.2404; -0.4362; -0.3054; -0.3229 Ry per atom.